First-principles (PBE) data for Y2ScTe after structural relaxation, as listed in Alexandria via LeMat-Bulk.

Results
Total DFT energy (no corrections) = -6.013 eV per atom

a = 5.9814 Å, b = 5.9814 Å, c = 5.5358 Å
α = 107.65°, β = 107.65°, γ = 36.86°
With the nearest neighbours (Å) after each atom.
Atoms (fractional coordinates):
1 Y 0.2289 0.2289 0.2335  2 Te 3.14, 4 Y 3.36-3.41, 3 Sc 3.37-3.51
2 Y 0.7711 0.7711 0.7665  2 Te 3.14, 4 Y 3.36-3.41, 3 Sc 3.37-3.51
3 Sc 0.0000 0.0000 0.5000  4 Te 3.35, 6 Y 3.37-3.51
4 Te 0.5000 0.5000 0.0000  4 Y 3.14, 4 Sc 3.35

=====

First-principles (PBE) data for Y2ScTe after structural relaxation, as listed in Alexandria via LeMat-Bulk.

Results
Total DFT energy (no corrections) = -6.080 eV per atom

a = 9.7883 Å, b = 9.7883 Å, c = 9.7883 Å
α = 22.57°, β = 22.57°, γ = 22.57°
With the nearest neighbours (Å) after each atom.
Atoms (fractional coordinates):
1 Y 0.2416 0.2416 0.2416  3 Te 3.08, 3 Sc 3.43
2 Y 0.7584 0.7584 0.7584  3 Te 3.08, 3 Sc 3.43
3 Sc 0.0000 0.0000 0.0000  6 Y 3.43, 6 Sc 3.83
4 Te 0.5000 0.5000 0.5000  6 Y 3.08

=====

First-principles (PBE) data for YScTe2 after structural relaxation, as listed in Alexandria via LeMat-Bulk.

Results
Total DFT energy (no corrections) = -5.604 eV per atom
Energy relative to the lowest polymorph listed for this composition = 405 meV/atom

a = 8.2018 Å, b = 8.2018 Å, c = 8.2018 Å
α = 131.72°, β = 131.72°, γ = 70.68°
With the nearest neighbours (Å) after each atom.
Atoms (fractional coordinates):
1 Y 0.0000 0.0000 0.0000  4 Te 2.98
2 Y 0.7500 0.2500 0.5000  4 Te 2.98
3 Sc 0.2500 0.7500 0.5000  4 Te 2.83
4 Sc 0.5000 0.5000 0.0000  4 Te 2.83
5 Te 0.1439 0.6250 0.0189  2 Sc 2.83, 2 Y 2.98
6 Te 0.3750 0.3939 0.5189  2 Sc 2.83, 2 Y 2.98
7 Te 0.6061 0.1250 0.9811  2 Sc 2.83, 2 Y 2.98
8 Te 0.8750 0.8561 0.4811  2 Sc 2.83, 2 Y 2.98

=====

First-principles (PBE) data for Y2ScTe after structural relaxation, as listed in Alexandria via LeMat-Bulk.

Results
Total DFT energy (no corrections) = -6.015 eV per atom

a = 6.3824 Å, b = 6.3824 Å, c = 6.3824 Å
α = 145.14°, β = 130.22°, γ = 62.20°
With the nearest neighbours (Å) after each atom.
Atoms (fractional coordinates):
1 Y 0.2270 0.2270 0.0000  2 Te 3.13, 4 Y 3.33
2 Y 0.7730 0.7730 0.0000  2 Te 3.13, 4 Y 3.33
3 Sc 0.5000 0.0000 0.5000  4 Te 3.30, 8 Y 3.54-3.66
4 Te 0.0000 0.5000 0.5000  4 Y 3.13, 4 Sc 3.30

=====

First-principles (PBE) data for Y2ScTe after structural relaxation, as listed in Alexandria via LeMat-Bulk.

Results
Total DFT energy (no corrections) = -5.827 eV per atom

a = 6.9373 Å, b = 6.9373 Å, c = 6.9373 Å
α = 101.70°, β = 101.70°, γ = 126.47°
With the nearest neighbours (Å) after each atom.
Atoms (fractional coordinates):
1 Y 0.0907 0.1250 0.4657  2 Te 3.00, 2 Y 3.18
2 Y 0.3750 0.9093 0.0343  2 Te 3.00, 2 Y 3.18
3 Y 0.6593 0.6250 0.5343  2 Te 3.00, 2 Y 3.18
4 Y 0.8750 0.3407 0.9657  2 Te 3.00, 2 Y 3.18
5 Sc 0.2500 0.7500 0.5000  2 Te 3.12, 4 Y 3.41
6 Sc 0.5000 0.5000 0.0000  2 Te 3.12, 4 Y 3.41
7 Te 0.0000 0.0000 0.0000  4 Y 3.00, 2 Sc 3.12
8 Te 0.7500 0.2500 0.5000  4 Y 3.00, 2 Sc 3.12

=====

First-principles (PBE) data for YScTe2 after structural relaxation, as listed in Alexandria via LeMat-Bulk.

Results
Total DFT energy (no corrections) = -5.968 eV per atom
Energy relative to the lowest polymorph listed for this composition = 40 meV/atom

a = 5.6427 Å, b = 5.6427 Å, c = 5.6427 Å
α = 138.05°, β = 91.23°, γ = 103.58°
With the nearest neighbours (Å) after each atom.
Atoms (fractional coordinates):
1 Y 0.0000 0.0000 0.0000  6 Te 3.05-3.07
2 Sc 0.4920 0.9920 0.5000  6 Te 3.03-3.07
3 Te 0.4172 0.6610 0.7562  3 Sc 3.03-3.07, 3 Y 3.05-3.07
4 Te 0.9048 0.6610 0.2438  3 Sc 3.03-3.07, 3 Y 3.05-3.07